Here is a relaxed TiGa3H crystal from Alexandria. Energies are from PBE.

Its energy above the most stable polymorph in this dataset is 0 meV per atom. As for the uncorrected energy: -4.099 eV per atom. The value obtained for the density of states at the Fermi level is 0.4 states/eV/cell.

The space group is Pm-3m (No. 221) and the conventional cell measures 4.072, 4.072 and 4.072 Å, with angles of 90.00, 90.00 and 90.00 degrees. The asymmetric unit holds Ti at (0.000, 0.000, 0.000), Ga at (0.000, 0.500, 0.500) and H at (0.500, 0.500, 0.500).